Density functional theory data (PBE+U) for a geometry-optimized KBa2Cr2O6 structure.

Output
* space group: No. 166
* DFT total energy: -69.8 eV for the cell shown

a b c (Å): 6.1327 6.1327 7.7055
angles (deg): 66.55 66.55 60.00
With the nearest neighbours (Å) after each atom.
Fractional positions:
1 O 0.7638 0.2680 0.7001  1 Cr 1.77
2 O 0.2362 0.7320 0.2999  1 Cr 1.77
3 O 0.2680 0.7638 0.7001  1 Cr 1.77
4 O 0.7320 0.7320 0.2999  1 Cr 1.77
5 O 0.2680 0.2680 0.7001  1 Cr 1.77
6 O 0.7320 0.2362 0.2999  1 Cr 1.77
7 Ba 0.1993 0.1993 0.4022  3 O 2.71
8 Ba 0.8007 0.8007 0.5978  3 O 2.71
9 Cr 0.5763 0.5763 0.2711  3 O 1.77
10 Cr 0.4237 0.4237 0.7289  3 O 1.77
11 K 0.0000 0.0000 0.0000  6 O 2.72